! KCoOF2 (GGA+U, optimized geometry); values from VASP
&SYSTEM
  ibrav = 0, nat = 5, ntyp = 4
/
ATOMIC_SPECIES
K 39.10 K.upf
Co 58.93 Co.upf
O 16.00 O.upf
F 19.00 F.upf
ATOMIC_POSITIONS angstrom
K -3.1035 1.2615 1.0672
Co 0.0000 0.0000 0.0000
O -0.9663 -0.8262 1.3243
F -1.7637 0.2053 -1.1589
F -0.3734 1.8823 0.9018
CELL_PARAMETERS angstrom
-0.7469 3.7647 1.8037
-3.5275 0.4106 -2.3177
-1.9326 -1.6523 2.6486
! Raw total energy: -4.8910 eV/atom
! N(E_F): 0.1469 states/eV/atom
! Energy above the lowest structure with this stoichiometry: 0.00 eV per formula unit